1.
# Ac2InCuPd6

A geometry-optimized Ac2InCuPd6 structure (GGA-PBE, the Alexandria database).

Symmetry: R-3m
Formation enthalpy at 0 K, meV per atom: -516.6
D(E_F), states/eV per cell: 4.15

Cell: 8.7679 8.7679 8.7679 Å, 38.88 38.88 38.88°
Closest atoms and distances in Å follow each position.
Atoms (fractional coordinates):
Ac (0.2106, 0.2106, 0.2106)  6 Pd 3.04
Ac (0.7894, 0.7894, 0.7894)  6 Pd 3.04
In (0.0000, 0.0000, 0.0000)  6 Pd 2.72
Cu (0.5000, 0.5000, 0.5000)  6 Pd 2.55
Pd (0.2440, 0.7456, 0.7456)  1 Cu 2.55, 1 In 2.72
Pd (0.2544, 0.2544, 0.7560)  1 Cu 2.55, 1 In 2.72
Pd (0.2544, 0.7560, 0.2544)  1 Cu 2.55, 1 In 2.72
Pd (0.7456, 0.2440, 0.7456)  1 Cu 2.55, 1 In 2.72
Pd (0.7456, 0.7456, 0.2440)  1 Cu 2.55, 1 In 2.72
Pd (0.7560, 0.2544, 0.2544)  1 Cu 2.55, 1 In 2.72

2.
# AcPr2In2Cu2

A geometry-optimized AcPr2In2Cu2 structure (GGA-PBE, the Alexandria database).

Symmetry: R-3m
Formation enthalpy at 0 K, meV per atom: -249.1
D(E_F), states/eV per cell: 5.43

Cell: 10.1665 10.1665 10.1665 Å, 27.19 27.19 27.19°
Closest atoms and distances in Å follow each position.
Atoms (fractional coordinates):
Ac (0.0000, 0.0000, 0.0000)  6 Cu 3.52, 6 In 3.54, 2 Pr 3.75
Pr (0.1277, 0.1277, 0.1277)  3 In 3.16, 3 Cu 3.17
Pr (0.8723, 0.8723, 0.8723)  3 In 3.16, 3 Cu 3.17
In (0.2580, 0.2580, 0.2580)  3 Cu 2.76
In (0.7420, 0.7420, 0.7420)  3 Cu 2.76
Cu (0.4078, 0.4078, 0.4078)  3 In 2.76
Cu (0.5922, 0.5922, 0.5922)  3 In 2.76

3.
# Ac2InCuPt6

A geometry-optimized Ac2InCuPt6 structure (GGA-PBE, the Alexandria database).

Symmetry: R-3m
Formation enthalpy at 0 K, meV per atom: -655.5
D(E_F), states/eV per cell: 4.61

Cell: 8.9874 8.9874 8.9874 Å, 37.20 37.20 37.20°
Closest atoms and distances in Å follow each position.
Atoms (fractional coordinates):
Ac (0.2043, 0.2043, 0.2043)  9 Pt 3.06-3.39
Ac (0.7957, 0.7957, 0.7957)  9 Pt 3.06-3.39
In (0.0000, 0.0000, 0.0000)  6 Pt 2.75
Cu (0.5000, 0.5000, 0.5000)  6 Pt 2.58
Pt (0.2508, 0.7443, 0.7443)  1 Cu 2.58, 1 In 2.75, 2 Pt 2.83
Pt (0.2557, 0.2557, 0.7492)  1 Cu 2.58, 1 In 2.75, 2 Pt 2.83
Pt (0.2557, 0.7492, 0.2557)  1 Cu 2.58, 1 In 2.75, 2 Pt 2.83
Pt (0.7443, 0.2508, 0.7443)  1 Cu 2.58, 1 In 2.75, 2 Pt 2.83
Pt (0.7443, 0.7443, 0.2508)  1 Cu 2.58, 1 In 2.75, 2 Pt 2.83
Pt (0.7492, 0.2557, 0.2557)  1 Cu 2.58, 1 In 2.75, 2 Pt 2.83

4.
# AcInCuPt3

A geometry-optimized AcInCuPt3 structure (GGA-PBE, the Alexandria database).

Symmetry: Cmcm
Formation enthalpy at 0 K, meV per atom: -518.0
D(E_F), states/eV per cell: 3.98

Cell: 6.6567 6.6567 7.5134 Å, 90.00 90.00 127.89°
Closest atoms and distances in Å follow each position.
Atoms (fractional coordinates):
Ac (0.1795, 0.8205, 0.7500)  6 Pt 2.94-3.20, 1 Cu 3.02
Ac (0.8205, 0.1795, 0.2500)  6 Pt 2.94-3.20, 1 Cu 3.02
In (0.1241, 0.8759, 0.2500)  5 Pt 2.67-2.80
In (0.8759, 0.1241, 0.7500)  5 Pt 2.67-2.80
Cu (0.4317, 0.5683, 0.7500)  5 Pt 2.52-2.65
Cu (0.5683, 0.4317, 0.2500)  5 Pt 2.52-2.65
Pt (0.2485, 0.2485, 0.0000)  2 Cu 2.52, 2 In 2.80
Pt (0.2485, 0.2485, 0.5000)  2 Cu 2.52, 2 In 2.80
Pt (0.3471, 0.6529, 0.2500)  1 Cu 2.65, 1 In 2.67, 2 Ac 2.94
Pt (0.6529, 0.3471, 0.7500)  1 Cu 2.65, 1 In 2.67, 2 Ac 2.94
Pt (0.7515, 0.7515, 0.0000)  2 Cu 2.52, 2 In 2.80
Pt (0.7515, 0.7515, 0.5000)  2 Cu 2.52, 2 In 2.80

5.
# Ac2In6CuRh

A geometry-optimized Ac2In6CuRh structure (GGA-PBE, the Alexandria database).

Symmetry: Fm-3m
Formation enthalpy at 0 K, meV per atom: -233.4
D(E_F), states/eV per cell: 6.63

Cell: 7.2918 7.2918 7.2918 Å, 60.00 60.00 60.00°
Closest atoms and distances in Å follow each position.
Atoms (fractional coordinates):
Ac (0.2500, 0.2500, 0.2500)  12 In 3.65
Ac (0.7500, 0.7500, 0.7500)  12 In 3.65
In (0.2453, 0.2453, 0.7547)  1 Cu 2.53, 1 Rh 2.63
In (0.2453, 0.7547, 0.2453)  1 Cu 2.53, 1 Rh 2.63
In (0.2453, 0.7547, 0.7547)  1 Cu 2.53, 1 Rh 2.63
In (0.7547, 0.2453, 0.2453)  1 Cu 2.53, 1 Rh 2.63
In (0.7547, 0.2453, 0.7547)  1 Cu 2.53, 1 Rh 2.63
In (0.7547, 0.7547, 0.2453)  1 Cu 2.53, 1 Rh 2.63
Cu (0.0000, 0.0000, 0.0000)  6 In 2.53
Rh (0.5000, 0.5000, 0.5000)  6 In 2.63

6.
# Ac2InCuS5

A geometry-optimized Ac2InCuS5 structure (GGA-PBE, the Alexandria database).

Symmetry: Cmc2_1
E_form (uncorrected), kJ/mol of atoms: -136.2

Cell: 9.0671 9.0671 11.8430 Å, 90.00 90.00 153.49°
Closest atoms and distances in Å follow each position.
Atoms (fractional coordinates):
Ac (0.1152, 0.8848, 0.5000)  8 S 3.04-3.33, 2 Cu 3.36
Ac (0.1251, 0.8749, 0.1230)  8 S 3.09-3.25, 1 Cu 3.28
Ac (0.8749, 0.1251, 0.6230)  8 S 3.09-3.25, 1 Cu 3.28
Ac (0.8848, 0.1152, 0.0000)  8 S 3.04-3.33, 2 Cu 3.36
In (0.4067, 0.5933, 0.2902)  5 S 2.52-2.74
In (0.5933, 0.4067, 0.7902)  5 S 2.52-2.74
Cu (0.2468, 0.7532, 0.9133)  3 S 2.26-2.32
Cu (0.7532, 0.2468, 0.4133)  3 S 2.26-2.32
S (0.0398, 0.9602, 0.8800)  2 In 2.52
S (0.3019, 0.6981, 0.4605)  2 Cu 2.32
S (0.3041, 0.6959, 0.1429)  1 In 2.52
S (0.3566, 0.6434, 0.8148)  1 Cu 2.26
S (0.4960, 0.5040, 0.1074)  1 In 2.68
S (0.5040, 0.4960, 0.6074)  1 In 2.68
S (0.6434, 0.3566, 0.3148)  1 Cu 2.26
S (0.6959, 0.3041, 0.6429)  1 In 2.52
S (0.6981, 0.3019, 0.9605)  2 Cu 2.32
S (0.9602, 0.0398, 0.3800)  2 In 2.52

7.
# Ac3In2Cu4Si2

A geometry-optimized Ac3In2Cu4Si2 structure (GGA-PBE, the Alexandria database).

Symmetry: P-3m1
D(E_F), states/eV per cell: 7.03
E_form (uncorrected), kJ/mol of atoms: -31.4

Cell: 4.3510 4.3510 16.2451 Å, 90.00 90.00 120.00°
Closest atoms and distances in Å follow each position.
Atoms (fractional coordinates):
Ac (0.0000, 0.0000, 0.0000)  6 Si 3.32, 6 Cu 3.33
Ac (0.0000, 0.0000, 0.2653)  6 Cu 3.23-3.29, 3 Si 3.30
Ac (0.0000, 0.0000, 0.7347)  6 Cu 3.23-3.29, 3 Si 3.30
In (0.3333, 0.6667, 0.5616)  4 Cu 2.63-2.79
In (0.6667, 0.3333, 0.4384)  4 Cu 2.63-2.79
Cu (0.3333, 0.6667, 0.3899)  4 In 2.63-2.79
Cu (0.3333, 0.6667, 0.8653)  3 Si 2.51
Cu (0.6667, 0.3333, 0.1347)  3 Si 2.51
Cu (0.6667, 0.3333, 0.6101)  4 In 2.63-2.79
Si (0.3333, 0.6667, 0.1333)  3 Cu 2.51
Si (0.6667, 0.3333, 0.8667)  3 Cu 2.51

8.
# Ac2In4CuSn2

A geometry-optimized Ac2In4CuSn2 structure (GGA-PBE, the Alexandria database).

Symmetry: I4/mmm
Formation enthalpy at 0 K, meV per atom: -359.3
D(E_F), states/eV per cell: 4.99

Cell: 7.0993 7.0993 7.0993 Å, 120.63 120.63 88.92°
Closest atoms and distances in Å follow each position.
Atoms (fractional coordinates):
Ac (0.2500, 0.7500, 0.5000)  4 Sn 3.52, 8 In 3.56
Ac (0.7500, 0.2500, 0.5000)  4 Sn 3.52, 8 In 3.56
In (0.2260, 0.2260, 0.4520)  1 Cu 2.72
In (0.2260, 0.7740, 0.0000)  1 Cu 2.72
In (0.7740, 0.2260, 0.0000)  1 Cu 2.72
In (0.7740, 0.7740, 0.5480)  1 Cu 2.72
Cu (0.5000, 0.5000, 0.0000)  2 Sn 2.70, 4 In 2.72
Sn (0.2334, 0.2334, 0.0000)  1 Cu 2.70
Sn (0.7666, 0.7666, 0.0000)  1 Cu 2.70